1.
The following is a GGA-PBE calculation of a geometry-optimized RbTl3As structure, from Alexandria via LeMat-Bulk.

Crystal system: cubic
Space-group type: Pm-3m (221)
Offset from the most stable computed form in meV per atom: 262

Lattice parameters (Å, degrees): 5.8823 5.8823 5.8823 90.00 90.00 90.00
Closest atoms and distances in Å follow each position.
Element x y z (fractional)
Rb1 0.5000 0.5000 0.5000  12 Tl 4.16
Tl1 0.0000 0.0000 0.5000  2 As 2.94
Tl2 0.0000 0.5000 0.0000  2 As 2.94
Tl3 0.5000 0.0000 0.0000  2 As 2.94
As1 0.0000 0.0000 0.0000  6 Tl 2.94

2.
The following is a GGA-PBE calculation of a geometry-optimized RbTl2As2 structure, from Alexandria via LeMat-Bulk.

Crystal system: tetragonal
Space-group type: I4/mmm (139)
Offset from the most stable computed form in meV per atom: 146

Lattice parameters (Å, degrees): 5.2555 5.2555 6.6701 66.80 66.80 90.00
Closest atoms and distances in Å follow each position.
Element x y z (fractional)
As1 0.2500 0.7500 0.5000  4 Tl 2.92
As2 0.7500 0.2500 0.5000  4 Tl 2.92
Tl1 0.3645 0.3645 0.2710  4 As 2.92, 1 Tl 3.00
Tl2 0.6355 0.6355 0.7290  4 As 2.92, 1 Tl 3.00
Rb1 0.0000 0.0000 0.0000  8 As 3.82, 10 Tl 4.01-4.04

3.
The following is a GGA-PBE calculation of a geometry-optimized Rb4Tl3As2 structure, from Alexandria via LeMat-Bulk.

Crystal system: monoclinic
Space-group type: C2/m (12)

Lattice parameters (Å, degrees): 4.6528 8.1682 10.3765 103.94 102.96 90.00
Closest atoms and distances in Å follow each position.
Element x y z (fractional)
Rb1 0.7717 0.3024 0.5434  3 As 3.53-3.64
Rb2 0.5637 0.8506 0.1274  6 Tl 3.67-4.08, 2 As 3.69-3.84, 1 Rb 3.96
Rb3 0.4363 0.1494 0.8726  6 Tl 3.67-4.08, 2 As 3.69-3.84, 1 Rb 3.96
Rb4 0.2283 0.6976 0.4566  3 As 3.53-3.64
Tl1 0.1071 0.2282 0.2142  2 As 2.92
Tl2 0.0000 0.5000 0.0000  4 As 3.40, 2 Tl 3.46, 4 Rb 3.67
Tl3 0.8929 0.7718 0.7858  2 As 2.92
As1 0.6156 0.4477 0.2312  2 Tl 2.92
As2 0.3844 0.5523 0.7688  2 Tl 2.92

no.,energy of formation (eV per formula unit),raw total energy (eV per atom)
1,0.7,-2.41
2,-0.2,-3.04
3,-1.7,-2.44